# 1
DFT (GGA-PBE) results for a relaxed Zr2TaAu2 crystal.

Cell: 7.758 7.758 3.374 Å, 90.00 90.00 90.00°
Each line ends with the local moment (μB).
Fractional coordinates of all 10 atoms:
Au (0.373, 0.873, 0.000)  0.02
Au (0.873, 0.627, 0.000)  0.02
Au (0.627, 0.127, 0.000)  0.02
Au (0.127, 0.373, 0.000)  0.02
Zr (0.175, 0.675, 0.500)  0.05
Zr (0.675, 0.825, 0.500)  0.04
Zr (0.825, 0.325, 0.500)  0.05
Zr (0.325, 0.175, 0.500)  0.04
Ta (0.000, 0.000, 0.000)  0.27
Ta (0.500, 0.500, 0.000)  0.26

## Properties
- Space group: P4/mbm
- Magnetic moment: 1.2 μB/cell
- Energy relative to the elements: -0.157 eV/atom

# 2
DFT (GGA-PBE) results for a relaxed SnAsPt2 crystal.

Cell: 4.614 4.614 8.535 Å, 74.32 74.32 90.00°
Fractional coordinates of all 8 atoms:
As (0.500, 0.500, 0.000)
As (0.250, 0.750, 0.500)
Sn (0.000, 0.000, 0.000)
Sn (0.750, 0.250, 0.500)
Pt (0.571, 0.125, 0.250)
Pt (0.179, 0.625, 0.250)
Pt (0.375, 0.429, 0.750)
Pt (0.875, 0.821, 0.750)

## Properties
- Space group: I-42d
- Magnetic moment: 0.0 μB/cell
- Energy relative to the elements: -0.275 eV/atom